First-principles (GGA-PBE) data for an optimized crystal structure of LaTi2Co2, as listed in the Alexandria database.

Unit cell a=4.1865 b=4.1865 c=5.8971 alpha=69.21 beta=69.21 gamma=90.00
Closest atoms and distances in Å follow each position.
Positions (direct):
Co (0.6220, 0.6220, 0.7560)  4 Ti 2.47, 1 Co 2.49
Ti (0.2500, 0.7500, 0.5000)  4 Co 2.47
Ti (0.7500, 0.2500, 0.5000)  4 Co 2.47
La (0.0000, 0.0000, 0.0000)  8 Co 3.21, 8 Ti 3.30
Co (0.3780, 0.3780, 0.2440)  4 Ti 2.47, 1 Co 2.49

Computed properties:
Total moment ... 0.00 μB per formula unit
DFT total energy ... -7.223 eV per atom
Distance to the lowest polymorph of the same formula ... 0.00 eV/f.u.
Energy of formation ... -237 meV/atom
Space-group type ... I4/mmm